(1)
This record from Alexandria describes a relaxed structure of Pm6Sb2Se3S. The functional is PBE-GGA.

Structure (POSCAR):
```
Pm6Sb2Se3S
1.0
4.266 0.000 0.000
0.000 8.567 0.310
-2.133 -2.465 9.017
Sb Pm S Se
2 6 1 3
Direct
0.833 0.666 0.667 Sb
0.167 0.334 0.333 Sb
0.344 0.930 0.687 Pm
0.997 0.229 0.993 Pm
0.656 0.070 0.313 Pm
0.662 0.591 0.324 Pm
0.003 0.771 0.007 Pm
0.338 0.409 0.676 Pm
0.500 0.000 0.000 S
0.500 0.500 0.000 Se
0.829 0.163 0.659 Se
0.171 0.837 0.341 Se
```

Calculated values
The calculation puts the mass density at 6.9 g cm⁻³. As for the symmetry: No. 12.



(2)
This record from Alexandria describes a relaxed structure of Pm6Sb3SeS2. The functional is PBE-GGA.

Structure (POSCAR):
```
Pm6Sb3SeS2
1.0
7.443 0.007 0.001
-3.714 6.451 0.001
-1.243 -2.153 7.007
Sb S Pm Se
3 2 6 1
Direct
0.836 0.164 0.500 Sb
0.500 0.500 0.500 Sb
0.164 0.836 0.500 Sb
0.667 0.333 0.000 S
0.333 0.667 0.000 S
0.418 0.077 0.232 Pm
0.582 0.923 0.768 Pm
0.735 0.735 0.228 Pm
0.077 0.418 0.232 Pm
0.923 0.582 0.768 Pm
0.265 0.265 0.772 Pm
0.000 0.000 0.000 Se
```

Calculated values
The calculation puts the mass density at 6.8 g cm⁻³. As for the symmetry: No. 12.



(3)
This record from Alexandria describes a relaxed structure of PmSmSbS. The functional is PBE-GGA.

Structure (POSCAR):
```
PmSmSbS
1.0
4.191 0.000 0.000
-2.094 3.629 0.000
-2.095 -1.209 7.250
S Sb Sm Pm
1 1 1 1
Direct
0.130 0.963 0.109 S
0.472 0.134 0.621 Sb
0.324 0.560 0.899 Sm
0.952 0.374 0.341 Pm
```

Calculated values
The calculation puts the mass density at 6.8 g cm⁻³. As for the symmetry: No. 160.



(4)
This record from Alexandria describes a relaxed structure of TbPmSbS. The functional is PBE-GGA.

Structure (POSCAR):
```
TbPmSbS
1.0
-0.694 0.474 4.029
1.971 -3.344 -1.369
6.300 4.338 -1.526
S Sb Pm Tb
1 1 1 1
Direct
0.478 0.137 0.630 S
0.130 0.963 0.108 Sb
0.974 0.385 0.374 Pm
0.297 0.546 0.858 Tb
```

Calculated values
The calculation puts the mass density at 7.0 g cm⁻³. As for the symmetry: No. 160.



(5)
This record from Alexandria describes a relaxed structure of Pm8SbTe4S3. The functional is PBE-GGA.

Structure (POSCAR):
```
Pm8SbTe4S3
1.0
8.549 0.000 0.000
0.000 8.726 0.120
-4.275 -4.270 6.048
Pm Te S Sb
8 4 3 1
Direct
0.279 0.284 0.032 Pm
0.247 0.716 0.495 Pm
0.753 0.284 0.032 Pm
0.736 0.708 0.472 Pm
0.264 0.292 0.528 Pm
0.721 0.716 0.968 Pm
0.753 0.284 0.505 Pm
0.247 0.716 0.968 Pm
0.000 0.000 0.500 Te
0.500 0.000 0.500 Te
0.000 0.000 0.000 Te
0.500 0.000 0.000 Te
0.000 0.500 0.500 S
0.500 0.500 0.500 S
0.500 0.500 0.000 S
0.000 0.500 0.000 Sb
```

Calculated values
The calculation puts the mass density at 6.9 g cm⁻³. As for the symmetry: No. 166.



(6)
This record from Alexandria describes a relaxed structure of Pm6Sb2Te3S. The functional is PBE-GGA.

Structure (POSCAR):
```
Pm6Sb2Te3S
1.0
4.380 0.000 0.000
0.000 8.871 0.247
-2.190 -2.626 9.323
Te Sb Pm S
3 2 6 1
Direct
0.172 0.837 0.343 Te
0.500 0.500 0.000 Te
0.828 0.163 0.657 Te
0.166 0.331 0.331 Sb
0.834 0.669 0.669 Sb
0.667 0.578 0.334 Pm
0.333 0.422 0.666 Pm
0.000 0.784 0.001 Pm
0.350 0.922 0.700 Pm
0.000 0.216 0.999 Pm
0.650 0.078 0.300 Pm
0.500 0.000 0.000 S
```

Calculated values
The calculation puts the mass density at 7.0 g cm⁻³. As for the symmetry: No. 12.



(7)
This record from Alexandria describes a relaxed structure of Pm4Sb2TeS. The functional is PBE-GGA.

Structure (POSCAR):
```
Pm4Sb2TeS
1.0
-4.127 0.512 -1.401
-0.204 -7.255 -2.049
-2.509 -4.236 5.843
Pm Sb S Te
4 2 1 1
Direct
0.500 0.738 0.267 Pm
0.000 0.746 0.736 Pm
0.500 0.262 0.733 Pm
0.000 0.254 0.264 Pm
0.000 0.000 0.000 Sb
0.500 0.000 0.500 Sb
0.000 0.500 0.500 S
0.500 0.500 0.000 Te
```

Calculated values
The calculation puts the mass density at 6.9 g cm⁻³. As for the symmetry: No. 10.



(8)
This record from Alexandria describes a relaxed structure of Pm8Sb3Te4S. The functional is PBE-GGA.

Structure (POSCAR):
```
Pm8Sb3Te4S
1.0
-2.293 -8.474 0.950
8.328 -2.473 -1.954
-1.439 5.726 6.565
Te Sb S Pm
4 3 1 8
Direct
0.000 0.000 0.500 Te
0.000 0.000 0.000 Te
0.500 0.000 0.000 Te
0.500 0.000 0.500 Te
0.000 0.500 0.500 Sb
0.500 0.500 0.500 Sb
0.500 0.500 0.000 Sb
0.000 0.500 0.000 S
0.235 0.729 0.994 Pm
0.253 0.259 0.506 Pm
0.765 0.271 0.006 Pm
0.747 0.741 0.494 Pm
0.760 0.729 0.994 Pm
0.240 0.271 0.006 Pm
0.765 0.271 0.531 Pm
0.235 0.729 0.469 Pm
```

Calculated values
The calculation puts the mass density at 7.0 g cm⁻³. As for the symmetry: No. 166.



The formation energy (no corrections) results, record by record, are as follows: -1.6385; -1.5508; -1.4977; -1.4158; -1.6140; -1.4562; -1.4251; -1.4175 eV/atom.
The total moment results, record by record, are as follows: 0.00; 0.00; 0.00; 0.46; 0.00; 0.00; 0.00; 0.00 μB per formula unit.